DFT (PBE) results for a geometry-optimized GdErSc2In2 structure.

a = 5.1811 Å, b = 5.1811 Å, c = 6.5794 Å
α = 90.00°, β = 90.00°, γ = 120.00°
Space group P-3m1 (No. 164)
Unique sites:
Gd 0.0000 0.0000 0.0000 x1
Er 0.0000 0.0000 0.5000 x1
Sc 0.3333 0.6667 0.7466 x2
In 0.3333 0.6667 0.2527 x2

Results
**E**: -4.93 eV/atom

DFT (PBE) results for a geometry-optimized GdErTmScIn2 structure.

a = 5.2690 Å, b = 5.2690 Å, c = 6.6514 Å
α = 90.00°, β = 90.00°, γ = 120.00°
Space group P3m1 (No. 156)
Unique sites:
Gd 0.0000 0.0000 0.0000 x1
Er 0.0000 0.0000 0.5126 x1
Tm 0.6667 0.3333 0.2594 x1
Sc 0.3333 0.6667 0.7531 x1
In 0.3333 0.6667 0.2583 x1
In 0.6667 0.3333 0.7551 x1

Results
**E**: -4.60 eV/atom

DFT (PBE) results for a geometry-optimized GdErIn3Si2 structure.

a = 10.6511 Å, b = 4.2790 Å, c = 6.9903 Å
α = 90.00°, β = 99.95°, γ = 90.00°
Space group Cm (No. 8)
Unique sites:
Gd 0.0000 0.0000 0.0000 x2
Er 0.2422 0.0000 0.6637 x2
In 0.1218 0.5000 0.3331 x2
In 0.3160 0.0000 0.1818 x2
In 0.4255 0.5000 0.4820 x2
Si 0.0278 0.5000 0.7116 x2
Si 0.2136 0.5000 0.9466 x2

Results
**E**: -4.47 eV/atom

DFT (PBE) results for a geometry-optimized SmGd2ErIn2 structure.

a = 5.4141 Å, b = 5.4141 Å, c = 6.7767 Å
α = 90.00°, β = 90.00°, γ = 120.00°
Space group P-6m2 (No. 187)
Unique sites:
Sm 0.0000 0.0000 0.0000 x1
Gd 0.6667 0.3333 0.2564 x2
Er 0.3333 0.6667 0.5000 x1
In 0.0000 0.0000 0.5000 x1
In 0.3333 0.6667 0.0000 x1

Results
**E**: -4.36 eV/atom

DFT (PBE) results for a geometry-optimized SmGdErTmIn2 structure.

a = 5.3854 Å, b = 5.3854 Å, c = 6.7439 Å
α = 90.00°, β = 90.00°, γ = 120.00°
Space group P3m1 (No. 156)
Unique sites:
Sm 0.0000 0.0000 0.0000 x1
Gd 0.6667 0.3333 0.2591 x1
Er 0.6667 0.3333 0.7464 x1
Tm 0.3333 0.6667 0.5055 x1
In 0.0000 0.0000 0.5037 x1
In 0.3333 0.6667 0.0011 x1

Results
**E**: -4.33 eV/atom

DFT (PBE) results for a geometry-optimized GdEr2Mg3Ir2Pt structure.

a = 4.0267 Å, b = 12.6828 Å, c = 7.3030 Å
α = 90.00°, β = 90.00°, γ = 90.00°
Space group Amm2 (No. 38)
Unique sites:
Gd 0.0000 0.0000 0.0000 x2
Er 0.0000 0.2057 0.3799 x4
Mg 0.5000 0.0000 0.3382 x2
Mg 0.5000 0.1246 0.7092 x4
Ir 0.5000 0.1689 0.0866 x4
Pt 0.0000 0.0000 0.5826 x2

Results
**E**: -5.48 eV/atom